VASP calculation (PBE) on a relaxed Ba2Ta crystal.

calculated formation energy = 707 meV/atom

a b c (Å): 17.4893 7.5159 4.4538
angles (deg): 90.00 90.00 90.00
Last column: nearest neighbours and their distance in Å.
Space group Cmcm (No. 63)
Unique sites:
Ba 0.1309 0.2491 0.2500 [8 per cell]  3 Ta 3.40-3.46
Ta 0.0000 0.4060 0.7500 [4 per cell]  2 Ta 2.64

VASP calculation (PBE) on a relaxed Ba2Ta crystal.

calculated formation energy = 1024 meV/atom

a b c (Å): 3.4878 3.4878 35.6589
angles (deg): 90.00 90.00 90.00
Last column: nearest neighbours and their distance in Å.
Space group I4_1/amd (No. 141, origin choice 2)
Unique sites:
Ba 0.0000 0.2500 0.3054 [8 per cell]  4 Ba 3.49, 4 Ta 3.50
Ta 0.0000 0.2500 0.8750 [4 per cell]  4 Ta 3.49, 8 Ba 3.50

VASP calculation (PBE) on a relaxed Ba5Ta4 crystal.

calculated formation energy = 793 meV/atom

a b c (Å): 11.5095 11.5095 4.6803
angles (deg): 90.00 90.00 90.00
Last column: nearest neighbours and their distance in Å.
Space group I4/mmm (No. 139)
Unique sites:
Ba 0.0000 0.0000 0.0000 [2 per cell]  8 Ba 3.66
Ba 0.1733 0.1733 0.5000 [8 per cell]  4 Ba 3.42-3.66, 2 Ta 3.83
Ta 0.0000 0.3895 0.0000 [8 per cell]  1 Ta 2.54

no.,relative energy among the computed polymorphs (meV per atom),electronic total energy (hartree per atom)
1,70,-0.166
2,386,-0.155
3,0,-0.204